# 1
Density functional theory data (meta-GGA SCAN) for Tb at its PBEsol-relaxed geometry.

Results
- theoretical density (g/cm3) = 8.89
- total DFT energy (no corrections) (Ha/atom) = -1.717
- total moment (μB/atom) = 0.0003
- V (Å³/atom) = 29.7
- energy of formation from the pure elements (eV per atom) = 0.048
- crystal system = hexagonal
- relative energy among the computed polymorphs (meV per atom) = 47.8

a = 5.5036 Å, b = 5.5036 Å, c = 3.3948 Å
α = 90.00°, β = 90.00°, γ = 120.00°
Space group P6/mmm (No. 191)
Asymmetric unit:
Tb: 0.0000 0.0000 0.0000 (multiplicity 1)
Tb: 0.3333 0.6667 0.5000 (multiplicity 2)


# 2
Density functional theory data (meta-GGA SCAN) for CaSb2 at its PBEsol-relaxed geometry.

Results
- theoretical density (g/cm3) = 5.78
- total DFT energy (no corrections) (Ha/atom) = -1.056
- total moment (μB/atom) = 0.0000
- V (Å³/atom) = 27.2
- E_form (uncorrected) (meV/atom) = -675
- crystal system = orthorhombic

a = 4.590 Å, b = 16.755 Å, c = 4.237 Å
α = 90.00°, β = 90.00°, γ = 90.00°
Space group Cmcm (No. 63)
Asymmetric unit:
Ca: 0.000 0.103 0.250 (multiplicity 4)
Sb: 0.000 0.256 0.750 (multiplicity 4)
Sb: 0.000 0.438 0.250 (multiplicity 4)


# 3
Density functional theory data (meta-GGA SCAN) for MgReSi2 at its PBEsol-relaxed geometry.

Results
- theoretical density (g/cm3) = 7.38
- total DFT energy (no corrections) (Ha/atom) = -0.870
- total moment (μB/atom) = 0.0000
- V (Å³/atom) = 15.0
- E_form (uncorrected) (meV/atom) = 359
- crystal system = orthorhombic

a = 3.313 Å, b = 4.425 Å, c = 8.181 Å
α = 90.00°, β = 90.00°, γ = 90.00°
Space group Cmm2 (No. 35)
Asymmetric unit:
Mg: 0.000 0.000 0.000 (multiplicity 2)
Re: 0.000 0.500 0.270 (multiplicity 2)
Si: 0.000 0.000 0.492 (multiplicity 2)
Si: 0.000 0.500 0.727 (multiplicity 2)


# 4
Density functional theory data (meta-GGA SCAN) for LiAl2W at its PBEsol-relaxed geometry.

Results
- theoretical density (g/cm3) = 6.44
- total DFT energy (no corrections) (Ha/atom) = -0.806
- total moment (μB/atom) = 0.0000
- V (Å³/atom) = 15.8
- energy of formation from the pure elements (eV per atom) = -0.029
- crystal system = tetragonal
- relative energy among the computed polymorphs (meV per atom) = 43.3

a = 2.721 Å, b = 2.721 Å, c = 8.527 Å
α = 90.00°, β = 90.00°, γ = 90.00°
Space group P4/mmm (No. 123)
Asymmetric unit:
Li: 0.000 0.000 0.000 (multiplicity 1)
Al: 0.500 0.500 0.260 (multiplicity 2)
W: 0.000 0.000 0.500 (multiplicity 1)


# 5
Density functional theory data (meta-GGA SCAN) for ReTcSb2 at its PBEsol-relaxed geometry.

Results
- theoretical density (g/cm3) = 12.04
- total DFT energy (no corrections) (Ha/atom) = -1.627
- total moment (μB/atom) = 0.0000
- V (Å³/atom) = 18.2
- E_form (uncorrected) (meV/atom) = 910
- crystal system = orthorhombic
- relative energy among the computed polymorphs (meV per atom) = 389.9

a = 3.232 Å, b = 4.227 Å, c = 5.326 Å
α = 90.00°, β = 90.00°, γ = 90.00°
Space group Pmmm (No. 47)
Asymmetric unit:
Re: 0.000 0.000 0.000 (multiplicity 1)
Tc: 0.500 0.000 0.500 (multiplicity 1)
Sb: 0.000 0.500 0.500 (multiplicity 1)
Sb: 0.500 0.500 0.000 (multiplicity 1)


# 6
Density functional theory data (meta-GGA SCAN) for Sr3MgAu at its PBEsol-relaxed geometry.

Results
- theoretical density (g/cm3) = 3.39
- total DFT energy (no corrections) (Ha/atom) = -1.022
- total moment (μB/atom) = 0.0000
- V (Å³/atom) = 47.5
- energy of formation from the pure elements (eV per atom) = 0.380
- crystal system = cubic

a = 6.191 Å, b = 6.191 Å, c = 6.191 Å
α = 90.00°, β = 90.00°, γ = 90.00°
Space group Pm-3m (No. 221)
Asymmetric unit:
Sr: 0.000 0.000 0.500 (multiplicity 3)
Mg: 0.000 0.000 0.000 (multiplicity 1)
Au: 0.500 0.500 0.500 (multiplicity 1)


# 7
Density functional theory data (meta-GGA SCAN) for Mg3SbAs at its PBEsol-relaxed geometry.

Results
- theoretical density (g/cm3) = 3.68
- total DFT energy (no corrections) (Ha/atom) = -0.543
- total moment (μB/atom) = 0.0000
- V (Å³/atom) = 24.3
- E_form (uncorrected) (meV/atom) = -303
- crystal system = cubic

a = 4.954 Å, b = 4.954 Å, c = 4.954 Å
α = 90.00°, β = 90.00°, γ = 90.00°
Space group Pm-3m (No. 221)
Asymmetric unit:
Mg: 0.000 0.000 0.500 (multiplicity 3)
Sb: 0.500 0.500 0.500 (multiplicity 1)
As: 0.000 0.000 0.000 (multiplicity 1)


# 8
Density functional theory data (meta-GGA SCAN) for TaAgRu2 at its PBEsol-relaxed geometry.

Results
- theoretical density (g/cm3) = 12.99
- total DFT energy (no corrections) (Ha/atom) = -1.535
- total moment (μB/atom) = 0.0000
- V (Å³/atom) = 15.7
- energy of formation from the pure elements (eV per atom) = 0.134
- crystal system = trigonal
- relative energy among the computed polymorphs (meV per atom) = 0.0

a = 2.8925 Å, b = 2.8925 Å, c = 25.9844 Å
α = 90.00°, β = 90.00°, γ = 120.00°
Space group R-3m (No. 166, hexagonal axes)
Asymmetric unit:
Ta: 0.0000 0.0000 0.0000 (multiplicity 3)
Ag: 0.0000 0.0000 0.5000 (multiplicity 3)
Ru: 0.0000 0.0000 0.2563 (multiplicity 6)


# 9
Density functional theory data (meta-GGA SCAN) for MnSb2Pb at its PBEsol-relaxed geometry.

Results
- theoretical density (g/cm3) = 9.12
- total DFT energy (no corrections) (Ha/atom) = -1.542
- total moment (μB/atom) = 0.7621
- V (Å³/atom) = 23.0
- E_form (uncorrected) (meV/atom) = 174
- crystal system = tetragonal

a = 3.389 Å, b = 3.389 Å, c = 8.015 Å
α = 90.00°, β = 90.00°, γ = 90.00°
Space group P4mm (No. 99)
Asymmetric unit:
Mn: 0.000 0.000 0.000 (multiplicity 1)
Sb: 0.000 0.000 0.572 (multiplicity 1)
Sb: 0.500 0.500 0.849 (multiplicity 1)
Pb: 0.500 0.500 0.246 (multiplicity 1)


# 10
Density functional theory data (meta-GGA SCAN) for AlMoW2 at its PBEsol-relaxed geometry.

Results
- theoretical density (g/cm3) = 13.11
- total DFT energy (no corrections) (Ha/atom) = -1.661
- total moment (μB/atom) = 0.0000
- V (Å³/atom) = 15.5
- energy of formation from the pure elements (eV per atom) = 0.306
- crystal system = trigonal

a = 2.7842 Å, b = 2.7842 Å, c = 27.7690 Å
α = 90.00°, β = 90.00°, γ = 120.00°
Space group R-3m (No. 166, hexagonal axes)
Asymmetric unit:
Al: 0.0000 0.0000 0.0000 (multiplicity 3)
Mo: 0.0000 0.0000 0.5000 (multiplicity 3)
W: 0.0000 0.0000 0.2513 (multiplicity 6)


# 11
Density functional theory data (meta-GGA SCAN) for MoPd4 at its PBEsol-relaxed geometry.

Results
- theoretical density (g/cm3) = 11.89
- total DFT energy (no corrections) (Ha/atom) = -1.221
- total moment (μB/atom) = 0.0001
- V (Å³/atom) = 14.6
- energy of formation from the pure elements (eV per atom) = -0.022
- crystal system = trigonal

a = 2.7386 Å, b = 2.7386 Å, c = 33.6539 Å
α = 90.00°, β = 90.00°, γ = 120.00°
Space group R-3m (No. 166, hexagonal axes)
Asymmetric unit:
Mo: 0.0000 0.0000 0.0000 (multiplicity 3)
Pd: 0.0000 0.0000 0.2004 (multiplicity 6)
Pd: 0.0000 0.0000 0.3986 (multiplicity 6)


# 12
Density functional theory data (meta-GGA SCAN) for Mn2AuSe at its PBEsol-relaxed geometry.

Results
- theoretical density (g/cm3) = 9.36
- total DFT energy (no corrections) (Ha/atom) = -1.171
- total moment (μB/atom) = 2.0792
- V (Å³/atom) = 17.1
- E_form (uncorrected) (meV/atom) = -419
- crystal system = trigonal

a = 3.4182 Å, b = 3.4182 Å, c = 20.2850 Å
α = 90.00°, β = 90.00°, γ = 120.00°
Space group R-3m (No. 166, hexagonal axes)
Asymmetric unit:
Mn: 0.0000 0.0000 0.2472 (multiplicity 6)
Au: 0.0000 0.0000 0.0000 (multiplicity 3)
Se: 0.0000 0.0000 0.5000 (multiplicity 3)


# 13
Density functional theory data (meta-GGA SCAN) for MgGe2Cl at its PBEsol-relaxed geometry.

Results
- theoretical density (g/cm3) = 4.29
- total DFT energy (no corrections) (Ha/atom) = -0.458
- total moment (μB/atom) = 0.0000
- V (Å³/atom) = 19.9
- E_form (uncorrected) (meV/atom) = 324
- crystal system = cubic

a = 6.824 Å, b = 6.824 Å, c = 6.824 Å
α = 90.00°, β = 90.00°, γ = 90.00°
Space group Fm-3m (No. 225)
Asymmetric unit:
Mg: 0.000 0.000 0.000 (multiplicity 4)
Ge: 0.250 0.250 0.250 (multiplicity 8)
Cl: 0.000 0.000 0.500 (multiplicity 4)


# 14
Density functional theory data (meta-GGA SCAN) for Ca2CeO4 at its PBEsol-relaxed geometry.

Results
- theoretical density (g/cm3) = 4.46
- total DFT energy (no corrections) (Ha/atom) = -0.590
- total moment (μB/atom) = 0.0000
- V (Å³/atom) = 15.1
- E_form (uncorrected) (meV/atom) = -3373
- crystal system = orthorhombic
- relative energy among the computed polymorphs (meV per atom) = 61.9

a = 5.927 Å, b = 6.074 Å, c = 11.760 Å
α = 90.00°, β = 90.00°, γ = 90.00°
Space group Pbca (No. 61)
Asymmetric unit:
Ca: 0.016 0.059 0.159 (multiplicity 8)
Ce: 0.000 0.000 0.500 (multiplicity 4)
O: 0.122 0.067 0.674 (multiplicity 8)
O: 0.181 0.182 0.956 (multiplicity 8)


# 15
Density functional theory data (meta-GGA SCAN) for TlGaAs3 at its PBEsol-relaxed geometry.

Results
- theoretical density (g/cm3) = 5.64
- total DFT energy (no corrections) (Ha/atom) = -1.055
- total moment (μB/atom) = 0.0001
- V (Å³/atom) = 29.4
- energy of formation from the pure elements (eV per atom) = 1.153
- crystal system = cubic

a = 5.277 Å, b = 5.277 Å, c = 5.277 Å
α = 90.00°, β = 90.00°, γ = 90.00°
Space group Pm-3m (No. 221)
Asymmetric unit:
Tl: 0.000 0.000 0.000 (multiplicity 1)
Ga: 0.500 0.500 0.500 (multiplicity 1)
As: 0.000 0.000 0.500 (multiplicity 3)


# 16
Density functional theory data (meta-GGA SCAN) for TiAl2Fe at its PBEsol-relaxed geometry.

Results
- theoretical density (g/cm3) = 4.88
- total DFT energy (no corrections) (Ha/atom) = -0.462
- total moment (μB/atom) = 0.0749
- V (Å³/atom) = 13.4
- energy of formation from the pure elements (eV per atom) = -0.160
- crystal system = cubic

a = 5.988 Å, b = 5.988 Å, c = 5.988 Å
α = 90.00°, β = 90.00°, γ = 90.00°
Space group Fm-3m (No. 225)
Asymmetric unit:
Ti: 0.000 0.000 0.000 (multiplicity 4)
Al: 0.250 0.250 0.250 (multiplicity 8)
Fe: 0.000 0.000 0.500 (multiplicity 4)


# 17
Density functional theory data (meta-GGA SCAN) for YRe2Pt at its PBEsol-relaxed geometry.

Results
- theoretical density (g/cm3) = 16.51
- total DFT energy (no corrections) (Ha/atom) = -2.197
- total moment (μB/atom) = 0.0000
- V (Å³/atom) = 16.5
- energy of formation from the pure elements (eV per atom) = 0.278
- crystal system = orthorhombic
- relative energy among the computed polymorphs (meV per atom) = 399.8

a = 5.623 Å, b = 8.660 Å, c = 2.712 Å
α = 90.00°, β = 90.00°, γ = 90.00°
Space group Cmmm (No. 65)
Asymmetric unit:
Y: 0.000 0.000 0.000 (multiplicity 2)
Re: 0.250 0.250 0.500 (multiplicity 4)
Pt: 0.000 0.500 0.000 (multiplicity 2)


# 18
Density functional theory data (meta-GGA SCAN) for Zn3RePt at its PBEsol-relaxed geometry.

Results
- theoretical density (g/cm3) = 9.69
- total DFT energy (no corrections) (Ha/atom) = -1.297
- total moment (μB/atom) = 0.7717
- V (Å³/atom) = 19.8
- energy of formation from the pure elements (eV per atom) = 1.083
- crystal system = cubic

a = 4.625 Å, b = 4.625 Å, c = 4.625 Å
α = 90.00°, β = 90.00°, γ = 90.00°
Space group Pm-3m (No. 221)
Asymmetric unit:
Zn: 0.000 0.000 0.500 (multiplicity 3)
Re: 0.500 0.500 0.500 (multiplicity 1)
Pt: 0.000 0.000 0.000 (multiplicity 1)


# 19
Density functional theory data (meta-GGA SCAN) for Mg3NbNi at its PBEsol-relaxed geometry.

Results
- theoretical density (g/cm3) = 2.64
- total DFT energy (no corrections) (Ha/atom) = -0.410
- total moment (μB/atom) = 0.8947
- V (Å³/atom) = 28.2
- energy of formation from the pure elements (eV per atom) = 1.694
- crystal system = cubic

a = 5.206 Å, b = 5.206 Å, c = 5.206 Å
α = 90.00°, β = 90.00°, γ = 90.00°
Space group Pm-3m (No. 221)
Asymmetric unit:
Mg: 0.000 0.000 0.500 (multiplicity 3)
Nb: 0.000 0.000 0.000 (multiplicity 1)
Ni: 0.500 0.500 0.500 (multiplicity 1)


# 20
Density functional theory data (meta-GGA SCAN) for TeAsSeN2 at its PBEsol-relaxed geometry.

Results
- theoretical density (g/cm3) = 5.40
- total DFT energy (no corrections) (Ha/atom) = -0.648
- total moment (μB/atom) = 0.3177
- V (Å³/atom) = 19.0
- E_form (uncorrected) (meV/atom) = 1590
- crystal system = tetragonal
- relative energy among the computed polymorphs (meV per atom) = 239.9

a = 3.806 Å, b = 3.806 Å, c = 6.567 Å
α = 90.00°, β = 90.00°, γ = 90.00°
Space group P4/mmm (No. 123)
Asymmetric unit:
Te: 0.000 0.000 0.000 (multiplicity 1)
As: 0.500 0.500 0.000 (multiplicity 1)
Se: 0.000 0.000 0.500 (multiplicity 1)
N: 0.000 0.500 0.500 (multiplicity 2)